A geometry-optimized LiCoReIr structure, computed with PBE.

Output
As for the magnetic moment: 1.874 μB/f.u. Its formation energy is 0.005 eV per atom. For the energy, the calculation gives -30.31 eV/f.u. For the density of states at the Fermi level, the calculation gives 3.60 states/eV per cell.

a = 5.9387 Å, b = 5.9387 Å, c = 5.9387 Å
α = 90.00°, β = 90.00°, γ = 90.00°
Closest atoms and distances in Å follow each position.
Space group F-43m (No. 216)
Symmetry-distinct sites (fractional):
Li 0.0000 0.0000 0.0000  4 Co 2.57, 4 Ir 2.57
Co 0.2500 0.2500 0.2500  4 Li 2.57, 4 Re 2.57
Re 0.0000 0.0000 0.5000  4 Co 2.57, 4 Ir 2.57
Ir 0.2500 0.2500 0.7500  4 Li 2.57, 4 Re 2.57



A geometry-optimized Ca2RhPb structure, computed with PBE.

Output
As for the magnetic moment: 0.000 μB/f.u. Its formation energy is -0.255 eV per atom. For the energy, the calculation gives -16.08 eV/f.u. For the density of states at the Fermi level, the calculation gives 6.00 states/eV per cell.

a = 3.6032 Å, b = 3.6032 Å, c = 28.2544 Å
α = 90.00°, β = 90.00°, γ = 120.00°
Closest atoms and distances in Å follow each position.
Space group R-3m (No. 166, hexagonal axes)
Symmetry-distinct sites (fractional):
Ca 0.0000 0.0000 0.2358  3 Rh 2.85
Rh 0.0000 0.0000 0.5000  6 Ca 2.85
Pb 0.0000 0.0000 0.0000  6 Ca 3.45, 6 Pb 3.60



A geometry-optimized La3Zn2Au9 structure, computed with PBE.

Output
As for the magnetic moment: 0.000 μB/f.u. Its formation energy is -0.603 eV per atom. For the energy, the calculation gives -55.26 eV/f.u. For the density of states at the Fermi level, the calculation gives 15.03 states/eV per cell.

a = 4.5105 Å, b = 10.1992 Å, c = 13.3946 Å
α = 90.00°, β = 90.00°, γ = 90.00°
Closest atoms and distances in Å follow each position.
Space group Immm (No. 71)
Symmetry-distinct sites (fractional):
La 0.0000 0.0000 0.0000  12 Au 3.36-3.43
La 0.0000 0.0000 0.2994  10 Au 3.25-3.51, 2 Zn 3.35
Zn 0.0000 0.1967 0.5000  8 Au 2.71-3.02
Au 0.0000 0.2896 0.1298  4 Au 2.76-2.98, 2 Zn 2.85
Au 0.0000 0.3658 0.3443  1 Zn 2.71, 4 Au 2.74-2.98
Au 0.0000 0.5000 0.0000  4 Au 2.76, 4 Zn 3.02



A geometry-optimized Er4ZnPb structure, computed with PBE.

Output
As for the magnetic moment: 0.000 μB/f.u. Its energy above the lowest structure with this stoichiometry is 0 meV per atom. Its formation energy is -0.259 eV per atom. For the energy, the calculation gives -24.79 eV/f.u. For the density of states at the Fermi level, the calculation gives 103.28 states/eV per cell.

a = 13.8316 Å, b = 13.8316 Å, c = 13.8316 Å
α = 90.00°, β = 90.00°, γ = 90.00°
Closest atoms and distances in Å follow each position.
Space group F-43m (No. 216)
Symmetry-distinct sites (fractional):
Er 0.0000 0.0000 0.1856  2 Zn 3.00
Er 0.0610 0.2500 0.7500  2 Pb 3.09
Er 0.1356 0.1356 0.3644  3 Zn 2.96, 3 Pb 3.28
Zn 0.1513 0.1513 0.1513  6 Er 2.96-3.00
Pb 0.0940 0.0940 0.5940  6 Er 3.09-3.28



A geometry-optimized HfSiP2S structure, computed with PBE.

Output
As for the magnetic moment: 0.000 μB/f.u. Its energy above the lowest structure with this stoichiometry is 0 meV per atom. For the energy, the calculation gives -29.11 eV/f.u. For the density of states at the Fermi level, the calculation gives 2.92 states/eV per cell. Its uncorrected formation energy is 242 meV/atom.

a = 4.4778 Å, b = 4.4778 Å, c = 4.4765 Å
α = 90.00°, β = 90.00°, γ = 90.00°
Closest atoms and distances in Å follow each position.
Space group P4/mmm (No. 123)
Symmetry-distinct sites (fractional):
Hf 0.0000 0.0000 0.0000  8 P 3.17, 4 S 3.17
Si 0.5000 0.5000 0.5000  2 S 2.24, 4 P 2.24
P 0.0000 0.5000 0.5000  2 Si 2.24
S 0.5000 0.5000 0.0000  2 Si 2.24



A geometry-optimized AsPtWSe2 structure, computed with PBE.

Output
As for the magnetic moment: 2.492 μB/f.u. Its energy above the lowest structure with this stoichiometry is 433 meV per atom. For the energy, the calculation gives -24.32 eV/f.u. For the density of states at the Fermi level, the calculation gives 3.10 states/eV per cell. Its uncorrected formation energy is 1258 meV/atom.

a = 4.9517 Å, b = 4.9517 Å, c = 4.7478 Å
α = 90.00°, β = 90.00°, γ = 90.00°
Closest atoms and distances in Å follow each position.
Space group P4/mmm (No. 123)
Symmetry-distinct sites (fractional):
As 0.0000 0.0000 0.0000  2 Pt 2.37
Pt 0.0000 0.0000 0.5000  2 As 2.37, 4 Se 2.48
W 0.5000 0.5000 0.0000  8 Se 3.43, 4 As 3.50
Se 0.0000 0.5000 0.5000  2 Pt 2.48



A geometry-optimized KNb2P2 structure, computed with PBE.

Output
As for the magnetic moment: 0.000 μB/f.u. Its formation energy is -0.525 eV per atom. For the energy, the calculation gives -34.68 eV/f.u. For the density of states at the Fermi level, the calculation gives 6.38 states/eV per cell.

a = 4.1314 Å, b = 4.1314 Å, c = 13.7186 Å
α = 90.00°, β = 90.00°, γ = 90.00°
Closest atoms and distances in Å follow each position.
Space group I4/mmm (No. 139)
Symmetry-distinct sites (fractional):
K 0.0000 0.0000 0.0000  8 P 3.52
Nb 0.0000 0.5000 0.2500  4 P 2.53
P 0.0000 0.0000 0.3571  4 Nb 2.53



A geometry-optimized CoSi2Ag structure, computed with PBE.

Output
As for the magnetic moment: 0.728 μB/f.u. Its energy above the lowest structure with this stoichiometry is 372 meV per atom. For the energy, the calculation gives -19.49 eV/f.u. For the density of states at the Fermi level, the calculation gives 6.00 states/eV per cell. Its uncorrected formation energy is 329 meV/atom.

a = 5.4932 Å, b = 7.0506 Å, c = 2.8632 Å
α = 90.00°, β = 90.00°, γ = 90.00°
Closest atoms and distances in Å follow each position.
Space group Cmmm (No. 65)
Symmetry-distinct sites (fractional):
Co 0.0000 0.0000 0.0000  8 Si 2.65, 2 Ag 2.75, 2 Co 2.86
Si 0.2500 0.2500 0.5000  4 Co 2.65, 4 Ag 2.65, 4 Si 2.75-2.86
Ag 0.0000 0.5000 0.0000  8 Si 2.65, 2 Co 2.75, 2 Ag 2.86



A geometry-optimized SmAl2Zn4Cu structure, computed with PBE.

Output
As for the magnetic moment: 0.000 μB/f.u. Its formation energy is -0.176 eV per atom. For the energy, the calculation gives -22.81 eV/f.u. For the density of states at the Fermi level, the calculation gives 9.38 states/eV per cell.

a = 4.3141 Å, b = 4.3141 Å, c = 25.6430 Å
α = 90.00°, β = 90.00°, γ = 120.00°
Closest atoms and distances in Å follow each position.
Space group R-3m (No. 166, hexagonal axes)
Symmetry-distinct sites (fractional):
Sm 0.0000 0.0000 0.0000  6 Zn 3.03, 6 Al 3.35
Al 0.0000 0.0000 0.2457  6 Zn 2.54-2.74
Zn 0.0000 0.0000 0.1326  3 Cu 2.64, 4 Al 2.74-2.90
Zn 0.0000 0.0000 0.4006  3 Al 2.54, 1 Cu 2.55
Cu 0.0000 0.0000 0.5000  8 Zn 2.55-2.64



A geometry-optimized Ac3Tm13 structure, computed with PBE.

Output
As for the magnetic moment: 0.000 μB/f.u. Its formation energy is 0.047 eV per atom. For the energy, the calculation gives -69.70 eV/f.u. For the density of states at the Fermi level, the calculation gives 51.31 states/eV per cell.

a = 7.3225 Å, b = 11.4007 Å, c = 12.5997 Å
α = 90.00°, β = 90.00°, γ = 90.00°
Closest atoms and distances in Å follow each position.
Space group Amm2 (No. 38)
Symmetry-distinct sites (fractional):
Ac 0.0000 0.0000 0.0000  10 Tm 3.49-3.66, 2 Ac 3.74
Ac 0.2531 0.0000 0.7421  9 Tm 3.57-3.72, 3 Ac 3.62-3.74
Tm 0.0000 0.0000 0.4895  10 Tm 3.45-3.66, 2 Ac 3.68
Tm 0.0000 0.2458 0.1657  3 Ac 3.49-3.57, 9 Tm 3.52-3.67
Tm 0.2517 0.0000 0.2500  11 Tm 3.45-3.69, 1 Ac 3.65
Tm 0.2530 0.2420 0.4147  10 Tm 3.43-3.71, 2 Ac 3.64-3.66
Tm 0.5000 0.0000 0.0000  8 Tm 3.41-3.64, 4 Ac 3.66-3.72
Tm 0.5000 0.0000 0.4895  10 Tm 3.43-3.69, 2 Ac 3.66
Tm 0.5000 0.2391 0.1630  10 Tm 3.41-3.69, 2 Ac 3.62



A geometry-optimized RbBaS2N structure, computed with PBE.

Output
As for the magnetic moment: 4.030 μB/f.u. Its energy above the lowest structure with this stoichiometry is 0 meV per atom. For the energy, the calculation gives -18.58 eV/f.u. For the density of states at the Fermi level, the calculation gives 6.25 states/eV per cell. Its uncorrected formation energy is 177 meV/atom.

a = 6.0179 Å, b = 6.0179 Å, c = 5.4239 Å
α = 90.00°, β = 90.00°, γ = 90.00°
Closest atoms and distances in Å follow each position.
Space group P4/mmm (No. 123)
Symmetry-distinct sites (fractional):
Rb 0.0000 0.0000 0.0000  8 S 4.05, 4 N 4.26
Ba 0.5000 0.5000 0.5000  2 N 2.71, 4 S 3.01
S 0.0000 0.5000 0.5000  2 Ba 3.01
N 0.5000 0.5000 0.0000  2 Ba 2.71



A geometry-optimized Na2AcZrS4 structure, computed with PBE.

Output
As for the magnetic moment: 0.000 μB/f.u. For the energy, the calculation gives -44.30 eV/f.u. For the density of states at the Fermi level, the calculation gives 3.48 states/eV per cell. Its uncorrected formation energy is -1562 meV/atom.

a = 7.0679 Å, b = 3.9888 Å, c = 7.1605 Å
α = 90.00°, β = 108.85°, γ = 90.00°
Closest atoms and distances in Å follow each position.
Space group P2/m (No. 10)
Symmetry-distinct sites (fractional):
Na 0.0000 0.0000 0.0000  6 S 3.06-3.13
Na 0.5000 0.5000 0.0000  6 S 2.83-2.87
Ac 0.0000 0.5000 0.5000  6 S 2.94
Zr 0.5000 0.0000 0.5000  6 S 2.65-2.70
S 0.2804 0.0000 0.7387  1 Zr 2.65, 2 Na 2.83, 2 Ac 2.94
S 0.2830 0.5000 0.2762  2 Zr 2.70, 1 Na 2.87, 1 Ac 2.94



Which of these has the highest magnetic moment? RbBaS2N



energy of number 10 (Ac3Tm13)? -69.70 eV/f.u.



Among the records above, which one has the lowest energy? Ac3Tm13